No. 1
This record from the Alexandria database describes crystalline RbTc2Ni2 at its relaxed geometry. The functional is PBE.

Its magnetic moment is 0.00 μB per formula unit. For the relative energy among the computed polymorphs, the calculation gives 15.2 meV/atom.

The structure belongs to space group I4/mmm (No. 139); the cell edges are 3.778, 3.778 and 14.918 Å and the angles 90.00°, 90.00° and 90.00°. The asymmetric unit holds Rb at (0.000, 0.000, 0.000), Tc at (0.000, 0.500, 0.250) and Ni at (0.000, 0.000, 0.354).



No. 2
This record from the Alexandria database describes crystalline RbTcNi at its relaxed geometry. The functional is PBE.

Its magnetic moment is 0.00 μB per formula unit. For the relative energy among the computed polymorphs, the calculation gives 194.6 meV/atom.

The structure belongs to space group P4/nmm (No. 129, origin choice 2); the cell edges are 3.911, 3.911 and 11.728 Å and the angles 90.00°, 90.00° and 90.00°. The asymmetric unit holds Rb at (0.250, 0.250, 0.208), Tc at (0.250, 0.750, 0.500) and Ni at (0.250, 0.250, 0.623).



No. 3
This record from the Alexandria database describes crystalline RbTcNi at its relaxed geometry. The functional is PBE.

Its magnetic moment is 0.00 μB per formula unit. For the relative energy among the computed polymorphs, the calculation gives 2.1 meV/atom.

The structure belongs to space group P1 (No. 1); the cell edges are 4.180, 4.181 and 12.099 Å and the angles 97.15°, 92.48° and 119.98°. The asymmetric unit holds Rb at (0.000, 0.000, 0.000), Rb at (0.242, 0.333, 0.596), Tc at (0.121, 0.167, 0.298), Tc at (0.454, 0.834, 0.298), Ni at (0.746, 0.443, 0.196) and Ni at (0.828, 0.558, 0.400).



No. 4
This record from the Alexandria database describes crystalline RbTcNi at its relaxed geometry. The functional is PBE.

Its magnetic moment is 3.64 μB per formula unit. For the relative energy among the computed polymorphs, the calculation gives 1399.5 meV/atom.

The structure belongs to space group P6_3/mmc (No. 194); the cell edges are 6.1153, 6.1153 and 8.9592 Å and the angles 90.00°, 90.00° and 120.00°. The asymmetric unit holds Rb at (0.3333, 0.6667, 0.2500), Tc at (0.0000, 0.0000, 0.2500) and Ni at (0.0000, 0.0000, 0.0000).



No. 5
This record from the Alexandria database describes crystalline RbTcNi at its relaxed geometry. The functional is PBE.

Its magnetic moment is 0.00 μB per formula unit. For the relative energy among the computed polymorphs, the calculation gives 421.6 meV/atom.

The structure belongs to space group Pnma (No. 62); the cell edges are 8.736, 3.434 and 11.033 Å and the angles 90.00°, 90.00° and 90.00°. The asymmetric unit holds Rb at (0.056, 0.250, 0.175), Tc at (0.085, 0.250, 0.531) and Ni at (0.206, 0.750, 0.415).



No. 6
This record from the Alexandria database describes crystalline Rb2Tc2Ni at its relaxed geometry. The functional is PBE.

Its magnetic moment is 1.06 μB per formula unit. For the relative energy among the computed polymorphs, the calculation gives 0.0 meV/atom.

The structure belongs to space group P4/mbm (No. 127); the cell edges are 10.464, 10.464 and 2.817 Å and the angles 90.00°, 90.00° and 90.00°. The asymmetric unit holds Rb at (0.212, 0.288, 0.000), Tc at (0.072, 0.572, 0.500) and Ni at (0.000, 0.000, 0.500).



No. 7
This record from the Alexandria database describes crystalline Rb2TcNi4 at its relaxed geometry. The functional is PBE.

Its magnetic moment is 0.00 μB per formula unit. The energy comes out at -3.989 eV per atom.

The structure belongs to space group I4/mmm (No. 139); the cell edges are 4.670, 4.670 and 17.391 Å and the angles 90.00°, 90.00° and 90.00°. The asymmetric unit holds Rb at (0.000, 0.000, 0.151), Tc at (0.000, 0.000, 0.500), Ni at (0.000, 0.000, 0.372) and Ni at (0.000, 0.500, 0.000).



No. 8
This record from the Alexandria database describes crystalline RbTcNi at its relaxed geometry. The functional is PBE.

Its magnetic moment is 0.88 μB per formula unit. For the relative energy among the computed polymorphs, the calculation gives 483.2 meV/atom.

The structure belongs to space group P1 (No. 1); the cell edges are 5.552, 5.553 and 6.918 Å and the angles 112.93°, 112.90° and 91.52°. The asymmetric unit holds Rb at (0.000, 0.000, 0.000), Rb at (0.395, 0.396, 0.792), Tc at (0.707, 0.410, 0.396), Tc at (0.985, 0.689, 0.396), Ni at (0.411, 0.694, 0.397) and Ni at (0.701, 0.985, 0.396).



No. 9
This record from the Alexandria database describes crystalline RbTcNi2 at its relaxed geometry. The functional is PBE.

Its magnetic moment is 3.74 μB per formula unit. For the relative energy among the computed polymorphs, the calculation gives 215.4 meV/atom.

The structure belongs to space group Fm-3m (No. 225); the cell edges are 6.581, 6.581 and 6.581 Å and the angles 90.00°, 90.00° and 90.00°. The asymmetric unit holds Rb at (0.000, 0.000, 0.000), Tc at (0.000, 0.000, 0.500) and Ni at (0.250, 0.250, 0.250).



No. 10
This record from the Alexandria database describes crystalline Rb2TcNi at its relaxed geometry. The functional is PBE.

Its magnetic moment is 3.36 μB per formula unit. For the relative energy among the computed polymorphs, the calculation gives 0.0 meV/atom.

The structure belongs to space group I-42d (No. 122); the cell edges are 12.982, 12.982 and 4.518 Å and the angles 90.00°, 90.00° and 90.00°. The asymmetric unit holds Rb at (0.066, 0.250, 0.125), Tc at (0.000, 0.000, 0.500) and Ni at (0.000, 0.000, 0.000).



No. 11
This record from the Alexandria database describes crystalline RbTcNi3 at its relaxed geometry. The functional is PBE.

Its magnetic moment is 4.29 μB per formula unit. For the relative energy among the computed polymorphs, the calculation gives 1424.5 meV/atom.

The structure belongs to space group Pm-3m (No. 221); the cell edges are 4.581, 4.581 and 4.581 Å and the angles 90.00°, 90.00° and 90.00°. The asymmetric unit holds Rb at (0.000, 0.000, 0.000), Tc at (0.500, 0.500, 0.500) and Ni at (0.000, 0.000, 0.500).



No. 12
This record from the Alexandria database describes crystalline RbTc2Ni2 at its relaxed geometry. The functional is PBE.

Its magnetic moment is 0.80 μB per formula unit. For the relative energy among the computed polymorphs, the calculation gives 0.0 meV/atom.

The structure belongs to space group P4/mbm (No. 127); the cell edges are 8.059, 8.059 and 2.619 Å and the angles 90.00°, 90.00° and 90.00°. The asymmetric unit holds Rb at (0.000, 0.000, 0.000), Tc at (0.110, 0.390, 0.500) and Ni at (0.170, 0.670, 0.000).



No. 13
This record from the Alexandria database describes crystalline Rb2TcNi at its relaxed geometry. The functional is PBE.

Its magnetic moment is 4.92 μB per formula unit. For the relative energy among the computed polymorphs, the calculation gives 611.7 meV/atom.

The structure belongs to space group Fm-3m (No. 225); the cell edges are 8.267, 8.267 and 8.267 Å and the angles 90.00°, 90.00° and 90.00°. The asymmetric unit holds Rb at (0.250, 0.250, 0.250), Tc at (0.000, 0.000, 0.000) and Ni at (0.000, 0.000, 0.500).



No. 14
This record from the Alexandria database describes crystalline RbTc2Ni at its relaxed geometry. The functional is PBE.

Its magnetic moment is 0.00 μB per formula unit. For the relative energy among the computed polymorphs, the calculation gives 0.0 meV/atom.

The structure belongs to space group I4_1/amd (No. 141, origin choice 2); the cell edges are 4.731, 4.731 and 17.641 Å and the angles 90.00°, 90.00° and 90.00°. The asymmetric unit holds Rb at (0.000, 0.250, 0.375), Tc at (0.000, 0.000, 0.000) and Ni at (0.000, 0.250, 0.875).



No. 15
This record from the Alexandria database describes crystalline RbNi4Te2 at its relaxed geometry. The functional is PBE.

Its magnetic moment is 1.07 μB per formula unit. The value obtained for the formation energy (no corrections) is 1.12 eV/atom.

The structure belongs to space group I4/mmm (No. 139); the cell edges are 4.751, 4.751 and 15.133 Å and the angles 90.00°, 90.00° and 90.00°. The asymmetric unit holds Rb at (0.000, 0.000, 0.000), Ni at (0.000, 0.000, 0.239), Ni at (0.000, 0.500, 0.000) and Te at (0.000, 0.000, 0.395).



No. 16
This record from the Alexandria database describes crystalline RbNi6Te4 at its relaxed geometry. The functional is PBE.

Its magnetic moment is 0.00 μB per formula unit. The value obtained for the formation energy (no corrections) is -0.18 eV/atom.

The structure belongs to space group I4/mmm (No. 139); the cell edges are 4.170, 4.170 and 26.308 Å and the angles 90.00°, 90.00° and 90.00°. The asymmetric unit holds Rb at (0.000, 0.000, 0.000), Ni at (0.000, 0.500, 0.141), Ni at (0.000, 0.500, 0.250), Te at (0.000, 0.000, 0.195) and Te at (0.000, 0.000, 0.413).



No. 17
This record from the Alexandria database describes crystalline RbNiTe2 at its relaxed geometry. The functional is PBE.

Its magnetic moment is 0.00 μB per formula unit. The value obtained for the formation energy (no corrections) is -0.40 eV/atom.

The structure belongs to space group I-42d (No. 122); the cell edges are 8.098, 8.098 and 8.025 Å and the angles 90.00°, 90.00° and 90.00°. The asymmetric unit holds Rb at (0.000, 0.000, 0.000), Ni at (0.000, 0.000, 0.500) and Te at (0.129, 0.750, 0.625).



No. 18
This record from the Alexandria database describes crystalline RbNiTe4 at its relaxed geometry. The functional is PBE.

Its magnetic moment is 0.00 μB per formula unit. The value obtained for the formation energy (no corrections) is -0.21 eV/atom.

The structure belongs to space group C2/m (No. 12); the cell edges are 17.701, 7.083 and 5.999 Å and the angles 90.00°, 95.90° and 90.00°. The asymmetric unit holds Rb at (0.185, 0.000, 0.162), Ni at (0.053, 0.500, 0.316), Te at (0.000, 0.266, 0.000), Te at (0.110, 0.275, 0.627) and Te at (0.202, 0.500, 0.300).



No. 19
This record from the Alexandria database describes crystalline RbNiTe at its relaxed geometry. The functional is PBE.

Its magnetic moment is 0.09 μB per formula unit. The value obtained for the formation energy (no corrections) is -0.42 eV/atom.

The structure belongs to space group P-6m2 (No. 187); the cell edges are 4.3067, 4.3067 and 5.6647 Å and the angles 90.00°, 90.00° and 120.00°. The asymmetric unit holds Rb at (0.0000, 0.0000, 0.0000), Ni at (0.6667, 0.3333, 0.5000) and Te at (0.3333, 0.6667, 0.5000).



No. 20
This record from the Alexandria database describes crystalline Rb2NiTe2 at its relaxed geometry. The functional is PBE.

Its magnetic moment is 0.00 μB per formula unit. The value obtained for the formation energy (no corrections) is -0.36 eV/atom.

The structure belongs to space group P4/mbm (No. 127); the cell edges are 7.309, 7.309 and 5.922 Å and the angles 90.00°, 90.00° and 90.00°. The asymmetric unit holds Rb at (0.161, 0.339, 0.000), Ni at (0.000, 0.000, 0.500) and Te at (0.169, 0.669, 0.500).